Computed, not measured: a relaxed structure of Hf2CoGe at the PBE-GGA level of DFT.

Theoretical density, g/cm³: 11.7
E_form, eV per atom: -0.583

Cell lengths 3.8397, 3.6191, 5.3010 Å; angles 109.96, 90.00, 90.00 degrees
Positions (direct):
Co (0.0000, 0.7108, 0.4216)
Ge (0.5000, 0.5484, 0.0968)
Hf (0.5000, 0.2655, 0.5310)
Hf (0.0000, 0.9746, 0.9491)

=====

Computed, not measured: a relaxed structure of OsRu2Br at the PBE-GGA level of DFT.

Formation energy (no corrections), eV per atom: 0.899
Theoretical density, g/cm³: 12.0

Cell lengths 2.8300, 3.6083, 6.3777 Å; angles 90.00, 90.00, 90.00 degrees
Positions (direct):
Os (0.5000, 0.5000, 0.8019)
Ru (0.0000, 0.0000, 0.0001)
Ru (0.5000, 0.5000, 0.2175)
Br (0.0000, 0.0000, 0.4805)

=====

Computed, not measured: a relaxed structure of Rb2AuF at the PBE-GGA level of DFT.

Formation energy (no corrections), eV per atom: -1.362
Theoretical density, g/cm³: 5.8

Cell lengths 3.7151, 3.7151, 8.0461 Å; angles 90.00, 90.00, 90.00 degrees
Positions (direct):
F (0.5000, 0.5000, 0.0000)
Au (0.5000, 0.5000, 0.5000)
Rb (0.0000, 0.0000, 0.7894)
Rb (0.0000, 0.0000, 0.2106)